A relaxed structure of Li2Mn4O9. Source: Alexandria, functional PBE+U.

The calculated volume comes out at 288 Å³ per cell. The value obtained for the total energy is -0.492 Ry/atom.

It has space group P-3c1 (No. 165), with a = 4.9411 Å, b = 4.9411 Å, c = 13.6000 Å, α = 90.00°, β = 90.00° and γ = 120.00°. The inequivalent atoms are Li at (0.0000, 0.0000, 0.1503), Mn at (0.3333, 0.6667, 0.0148), Mn at (0.3333, 0.6667, 0.3156), O at (0.0000, 0.3302, 0.2500) and O at (0.0324, 0.3742, 0.9204).